The following is a PBE calculation of a relaxed structure of TbTh4Os4, from Alexandria via LeMat-Bulk.

Cell lengths 9.0410, 9.0410, 5.6850 Å; angles 90.00, 90.00, 90.00 degrees
Element x y z (fractional)
1 Tb 0.2500 0.2500 0.2500
2 Tb 0.7500 0.7500 0.7500
3 Th 0.0623 0.6635 0.1658
4 Th 0.1635 0.9377 0.6658
5 Th 0.3365 0.5623 0.6658
6 Th 0.4377 0.8365 0.1658
7 Th 0.5623 0.1635 0.8342
8 Th 0.6635 0.4377 0.3342
9 Th 0.8365 0.0623 0.3342
10 Th 0.9377 0.3365 0.8342
11 Os 0.0329 0.6231 0.6558
12 Os 0.1231 0.9671 0.1558
13 Os 0.3769 0.5329 0.1558
14 Os 0.4671 0.8769 0.6558
15 Os 0.5329 0.1231 0.3442
16 Os 0.6231 0.4671 0.8442
17 Os 0.8769 0.0329 0.8442
18 Os 0.9671 0.3769 0.3442

DOS at the Fermi energy in states/eV/f.u.: 5.40
Raw total energy in eV per atom: -9.008
SG: P4_2/n (86)